A relaxed Cs2SnTeI6 crystal. Source: Alexandria, functional PBE.

a b c (Å): 8.764 8.764 12.594
angles (deg): 90.00 90.00 90.00
Space group I4/mmm (No. 139)
Symmetry-distinct sites (fractional):
Cs (0.000, 0.500, 0.250) x4
Sn (0.000, 0.000, 0.000) x2
Te (0.000, 0.000, 0.500) x2
I (0.000, 0.000, 0.243) x4
I (0.247, 0.247, 0.000) x8

- energy relative to the elements, uncorrected (meV/atom) = -753
- density of states at the Fermi level (states/eV per atom) = 0.4812
- final energy (eV per atom) = -2.5679

=====

A relaxed PaH3Rh crystal. Source: Alexandria, functional PBE.

a b c (Å): 3.951 3.951 6.901
angles (deg): 90.00 90.00 90.00
Space group I4mm (No. 107)
Symmetry-distinct sites (fractional):
Pa (0.000, 0.000, 0.000) x2
H (0.000, 0.000, 0.341) x2
H (0.000, 0.500, 0.182) x4
Rh (0.000, 0.000, 0.592) x2

- density of states at the Fermi level (states/eV per atom) = 0.6404
- final energy (eV per atom) = -5.6397

=====

A relaxed CaTb6Pm2 crystal. Source: Alexandria, functional PBE.

a b c (Å): 6.677 9.069 10.561
angles (deg): 105.15 100.18 96.20
Space group P-1 (No. 2)
Symmetry-distinct sites (fractional):
Ca (0.059, 0.309, 0.431) x2
Tb (0.006, 0.249, 0.752) x2
Tb (0.215, 0.971, 0.904) x2
Tb (0.276, 0.016, 0.559) x2
Tb (0.342, 0.081, 0.245) x2
Tb (0.346, 0.585, 0.762) x2
Tb (0.402, 0.647, 0.437) x2
Pm (0.116, 0.368, 0.098) x2
Pm (0.447, 0.707, 0.107) x2

- density of states at the Fermi level (states/eV per atom) = 1.6010
- E_form (meV/atom) = 77
- final energy (eV per atom) = -4.2876

=====

A relaxed K4CdHg2 crystal. Source: Alexandria, functional PBE.

a b c (Å): 6.684 6.684 17.063
angles (deg): 90.00 90.00 90.00
Space group I4/mmm (No. 139)
Symmetry-distinct sites (fractional):
K (0.000, 0.000, 0.208) x4
K (0.000, 0.500, 0.000) x4
Cd (0.000, 0.000, 0.000) x2
Hg (0.000, 0.000, 0.410) x4

- relative energy among the computed polymorphs (kJ/mol of atoms) = 10.1
- density of states at the Fermi level (states/eV per atom) = 0.9044
- E_form (meV/atom) = -29
- final energy (eV per atom) = -0.8728

=====

- Among the records above, which one has the lowest density of states at the Fermi level?
  Cs2SnTeI6